CuRhW | PBE | relaxed

The calculation puts the formation energy at 0.716 eV per atom. For the energy relative to the lowest polymorph listed for this composition, the calculation gives 0.739 eV per atom. The volume is 204.1 Å³ per cell.

It has space group F-43m (No. 216), with a = 5.8882 Å, b = 5.8882 Å, c = 5.8882 Å, α = 90.00°, β = 90.00° and γ = 90.00°. The inequivalent atoms are Cu at (0.0000, 0.0000, 0.0000), Rh at (0.0000, 0.0000, 0.5000) and W at (0.2500, 0.2500, 0.2500).